# SrMnCo2 | Alexandria via LeMat-Bulk | GGA-PBE | optimized geometry
data_SrMnCo2
_chemical_formula_sum 'Sr4 Mn4 Co8'
_cell_length_a 6.469
_cell_length_b 6.469
_cell_length_c 6.469
_cell_angle_alpha 90.00
_cell_angle_beta 90.00
_cell_angle_gamma 90.00
_symmetry_space_group_name_H-M 'F -4 3 m'
_symmetry_Int_Tables_number 216
_symmetry_space_group_name_Hall 'F -4 2 3'
loop_
_atom_site_label
_atom_site_type_symbol
_atom_site_fract_x
_atom_site_fract_y
_atom_site_fract_z
_atom_site_occupancy
Sr1 Sr 0.000 0.000 0.000 1
Mn1 Mn 0.250 0.250 0.750 1
Co1 Co 0.000 0.000 0.500 1
Co2 Co 0.250 0.250 0.250 1
# - formation energy (meV per atom) = 813
# - energy relative to the lowest polymorph listed for this composition (eV/atom) = 0.569
# - magnetization (μB per cell) = 24.825


# SrMnCo2 | Alexandria via LeMat-Bulk | GGA-PBE | optimized geometry
data_SrMnCo2
_chemical_formula_sum 'Sr4 Mn4 Co8'
_cell_length_a 4.607
_cell_length_b 4.607
_cell_length_c 16.349
_cell_angle_alpha 90.00
_cell_angle_beta 90.00
_cell_angle_gamma 90.00
_symmetry_space_group_name_H-M 'I 41/a m d'
_symmetry_Int_Tables_number 141
loop_
_symmetry_equiv_pos_as_xyz
'x,y,z'
'-x,-y,-z'
'-y+1/4,x+3/4,z+1/4'
'y+1/4,-x+3/4,-z+1/4'
'-x+1/2,-y,z+1/2'
'x+1/2,y,-z+1/2'
'y+1/4,-x+1/4,z+3/4'
'-y+1/4,x+1/4,-z+3/4'
'x,-y,-z'
'-x,y,z'
'-y+1/4,-x+1/4,-z+3/4'
'y+1/4,x+1/4,z+3/4'
'-x+1/2,y,-z+1/2'
'x+1/2,-y,z+1/2'
'y+1/4,x+3/4,-z+1/4'
'-y+1/4,-x+3/4,z+1/4'
'x+1/2,y+1/2,z+1/2'
'-x+1/2,-y+1/2,-z+1/2'
'-y+3/4,x+1/4,z+3/4'
'y+3/4,-x+1/4,-z+3/4'
'-x,-y+1/2,z'
'x,y+1/2,-z'
'y+3/4,-x+3/4,z+1/4'
'-y+3/4,x+3/4,-z+1/4'
'x+1/2,-y+1/2,-z+1/2'
'-x+1/2,y+1/2,z+1/2'
'-y+3/4,-x+3/4,-z+1/4'
'y+3/4,x+3/4,z+1/4'
'-x,y+1/2,-z'
'x,-y+1/2,z'
'y+3/4,x+1/4,-z+3/4'
'-y+3/4,-x+1/4,z+3/4'
loop_
_atom_site_label
_atom_site_type_symbol
_atom_site_fract_x
_atom_site_fract_y
_atom_site_fract_z
_atom_site_occupancy
Sr1 Sr 0.000 0.250 0.375 1
Mn1 Mn 0.000 0.250 0.875 1
Co1 Co 0.000 0.000 0.000 1
# - formation energy (meV per atom) = 596
# - energy relative to the lowest polymorph listed for this composition (eV/atom) = 0.353
# - magnetization (μB per cell) = 23.114


# SrMnCo2 | Alexandria via LeMat-Bulk | GGA-PBE | optimized geometry
data_SrMnCo2
_chemical_formula_sum 'Sr2 Mn2 Co4'
_cell_length_a 3.068
_cell_length_b 4.866
_cell_length_c 9.542
_cell_angle_alpha 90.00
_cell_angle_beta 90.00
_cell_angle_gamma 90.00
_symmetry_space_group_name_H-M 'I m m 2'
_symmetry_Int_Tables_number 44
_symmetry_space_group_name_Hall 'I 2 -2'
loop_
_atom_site_label
_atom_site_type_symbol
_atom_site_fract_x
_atom_site_fract_y
_atom_site_fract_z
_atom_site_occupancy
Sr1 Sr 0.000 0.000 0.000 1
Mn1 Mn 0.000 0.500 0.204 1
Co1 Co 0.000 0.000 0.473 1
Co2 Co 0.000 0.500 0.785 1
# - formation energy (meV per atom) = 615
# - energy relative to the lowest polymorph listed for this composition (eV/atom) = 0.372
# - magnetization (μB per cell) = 13.859


# SrMnCo | Alexandria via LeMat-Bulk | GGA-PBE | optimized geometry
data_SrMnCo
_chemical_formula_sum 'Sr4 Mn4 Co4'
_cell_length_a 6.960
_cell_length_b 6.960
_cell_length_c 6.960
_cell_angle_alpha 90.00
_cell_angle_beta 90.00
_cell_angle_gamma 90.00
_symmetry_space_group_name_H-M 'F -4 3 m'
_symmetry_Int_Tables_number 216
_symmetry_space_group_name_Hall 'F -4 2 3'
loop_
_atom_site_label
_atom_site_type_symbol
_atom_site_fract_x
_atom_site_fract_y
_atom_site_fract_z
_atom_site_occupancy
Sr1 Sr 0.000 0.000 0.000 1
Mn1 Mn 0.250 0.250 0.250 1
Co1 Co 0.250 0.250 0.750 1
# - formation energy (meV per atom) = 1527
# - energy relative to the lowest polymorph listed for this composition (eV/atom) = 1.272
# - magnetization (μB per cell) = 23.731